1.
An optimized crystal structure of LaMg3Si, computed with GGA-PBE.

```
LaMg3Si
1.0
5.902 0.000 0.000
0.000 5.902 0.000
0.000 0.000 5.902
La Mg Si
1 3 1
direct
0.000 0.000 0.000 La
0.000 0.000 0.500 Mg
0.000 0.500 0.000 Mg
0.500 0.000 0.000 Mg
0.500 0.500 0.500 Si
```

Output
E above lowest polymorph = 1373 meV per atom

=====

2.
An optimized crystal structure of La12Mg5Si3, computed with GGA-PBE.

```
La12Mg5Si3
1.0
-9.109 9.109 9.109
9.109 -9.109 9.109
9.109 9.109 -9.109
La Mg Si
48 20 12
direct
0.068 0.642 0.404 La
0.068 0.926 0.664 La
0.074 0.237 0.142 La
0.074 0.336 0.932 La
0.096 0.737 0.664 La
0.096 0.858 0.432 La
0.142 0.074 0.237 La
0.142 0.568 0.904 La
0.164 0.237 0.596 La
0.164 0.426 0.568 La
0.237 0.142 0.074 La
0.237 0.596 0.164 La
0.263 0.336 0.904 La
0.263 0.426 0.358 La
0.336 0.904 0.263 La
0.336 0.932 0.074 La
0.358 0.263 0.426 La
0.358 0.596 0.932 La
0.404 0.068 0.642 La
0.404 0.836 0.763 La
0.426 0.358 0.263 La
0.426 0.568 0.164 La
0.432 0.096 0.858 La
0.432 0.836 0.574 La
0.568 0.164 0.426 La
0.568 0.904 0.142 La
0.574 0.432 0.836 La
0.574 0.642 0.737 La
0.596 0.164 0.237 La
0.596 0.932 0.358 La
0.642 0.404 0.068 La
0.642 0.737 0.574 La
0.664 0.068 0.926 La
0.664 0.096 0.737 La
0.737 0.574 0.642 La
0.737 0.664 0.096 La
0.763 0.404 0.836 La
0.763 0.858 0.926 La
0.836 0.574 0.432 La
0.836 0.763 0.404 La
0.858 0.432 0.096 La
0.858 0.926 0.763 La
0.904 0.142 0.568 La
0.904 0.263 0.336 La
0.926 0.664 0.068 La
0.926 0.763 0.858 La
0.932 0.074 0.336 La
0.932 0.358 0.596 La
0.000 0.000 0.000 Mg
0.000 0.000 0.500 Mg
0.000 0.500 0.000 Mg
0.000 0.500 0.500 Mg
0.125 0.750 0.875 Mg
0.125 0.875 0.250 Mg
0.250 0.125 0.875 Mg
0.250 0.625 0.375 Mg
0.375 0.250 0.625 Mg
0.375 0.625 0.750 Mg
0.500 0.000 0.000 Mg
0.500 0.000 0.500 Mg
0.500 0.500 0.000 Mg
0.500 0.500 0.500 Mg
0.625 0.375 0.250 Mg
0.625 0.750 0.375 Mg
0.750 0.375 0.625 Mg
0.750 0.875 0.125 Mg
0.875 0.125 0.750 Mg
0.875 0.250 0.125 Mg
0.125 0.250 0.375 Si
0.125 0.375 0.750 Si
0.250 0.375 0.125 Si
0.250 0.875 0.625 Si
0.375 0.125 0.250 Si
0.375 0.750 0.125 Si
0.625 0.250 0.875 Si
0.625 0.875 0.750 Si
0.750 0.125 0.375 Si
0.750 0.625 0.875 Si
0.875 0.625 0.250 Si
0.875 0.750 0.625 Si
```

=====

3.
An optimized crystal structure of La2MgSi, computed with GGA-PBE.

```
La2MgSi
1.0
2.364 1.365 5.705
-2.364 1.365 5.705
0.000 -2.730 5.705
La Mg Si
2 1 1
direct
0.000 0.000 0.000 La
0.204 0.204 0.204 La
0.773 0.773 0.773 Mg
0.422 0.422 0.422 Si
```

=====

4.
An optimized crystal structure of LaMg3Si, computed with GGA-PBE.

```
LaMg3Si
1.0
5.140 0.000 0.000
0.000 5.140 0.000
0.000 0.000 5.140
La Mg Si
1 3 1
direct
0.000 0.000 0.000 La
0.000 0.500 0.500 Mg
0.500 0.000 0.500 Mg
0.500 0.500 0.000 Mg
0.500 0.500 0.500 Si
```

Output
E above lowest polymorph = 0 meV per atom

=====

| no. | V (Å³ per cell) | E_form (uncorrected) (eV per atom) |
| --- | --- | --- |
| 1 | 206 | 1.52 |
| 2 | 3023 | 0.29 |
| 3 | 110 | -0.22 |
| 4 | 136 | 0.15 |